[1]
Material: TbIn12Ni4
Method: DFT, PBE
State: optimized geometry

ΔH_f (0 K) = -25 meV per atom
Calculated total energy = -3.59 eV/atom
V = 830 Å³/cell
Magnetization = 0.00 μB/f.u.

CIF file:
```
data_TbIn12Ni4
_cell_length_a 9.399
_cell_length_b 9.399
_cell_length_c 9.399
_cell_angle_alpha 90.00
_cell_angle_beta 90.00
_cell_angle_gamma 90.00
_symmetry_space_group_name_H-M 'I m -3'
_symmetry_Int_Tables_number 204
_symmetry_space_group_name_Hall '-I 2 2 3'
loop_
_atom_site_label
_atom_site_type_symbol
_atom_site_fract_x
_atom_site_fract_y
_atom_site_fract_z
Tb1 Tb 0.000 0.000 0.000
In1 In 0.000 0.178 0.322
Ni1 Ni 0.250 0.250 0.250
```

=====

[2]
Material: Tb2InNi2
Method: DFT, PBE
State: optimized geometry

ΔH_f (0 K) = -529 meV per atom
Calculated total energy = -5.24 eV/atom
V = 208 Å³/cell
Magnetization = 0.00 μB/f.u.

CIF file:
```
data_Tb2InNi2
_cell_length_a 3.886
_cell_length_b 14.405
_cell_length_c 3.711
_cell_angle_alpha 90.00
_cell_angle_beta 90.00
_cell_angle_gamma 90.00
_symmetry_space_group_name_H-M 'C m m m'
_symmetry_Int_Tables_number 65
_symmetry_space_group_name_Hall '-C 2 2'
loop_
_atom_site_label
_atom_site_type_symbol
_atom_site_fract_x
_atom_site_fract_y
_atom_site_fract_z
Tb1 Tb 0.000 0.138 0.000
In1 In 0.000 0.500 0.500
Ni1 Ni 0.000 0.301 0.500
```

=====

[3]
Material: TbIn3Ni8
Method: DFT, PBE
State: optimized geometry

Distance to the lowest polymorph of the same formula = 0.017 eV per atom
ΔH_f (0 K) = -192 meV per atom
Calculated total energy = -5.12 eV/atom
V = 173 Å³/cell
Magnetization = 0.00 μB/f.u.

CIF file:
```
data_TbIn3Ni8
_cell_length_a 4.9827
_cell_length_b 4.9827
_cell_length_c 8.0552
_cell_angle_alpha 90.00
_cell_angle_beta 90.00
_cell_angle_gamma 120.00
_symmetry_space_group_name_H-M 'P 3 m 1'
_symmetry_Int_Tables_number 156
loop_
_symmetry_equiv_pos_as_xyz
'x,y,z'
'-y,x-y,z'
'-x+y,-x,z'
'-y,-x,z'
'-x+y,y,z'
'x,x-y,z'
loop_
_atom_site_label
_atom_site_type_symbol
_atom_site_fract_x
_atom_site_fract_y
_atom_site_fract_z
Tb1 Tb 0.0000 0.0000 0.0000
In1 In 0.0000 0.0000 0.3787
In2 In 0.6667 0.3333 0.4878
In3 In 0.6667 0.3333 0.8600
Ni1 Ni 0.1669 0.3339 0.6777
Ni2 Ni 0.3333 0.6667 0.4265
Ni3 Ni 0.3333 0.6667 0.9295
Ni4 Ni 0.5008 0.0016 0.1825
```

=====

[4]
Material: Tb3In3Ni2
Method: DFT, PBE
State: optimized geometry

ΔH_f (0 K) = -464 meV per atom
Calculated total energy = -4.67 eV/atom
V = 365 Å³/cell
Magnetization = 0.00 μB/f.u.

CIF file:
```
data_Tb3In3Ni2
_cell_length_a 16.894
_cell_length_b 4.365
_cell_length_c 5.032
_cell_angle_alpha 90.00
_cell_angle_beta 100.75
_cell_angle_gamma 90.00
_symmetry_space_group_name_H-M 'C 1 2/m 1'
_symmetry_Int_Tables_number 12
loop_
_symmetry_equiv_pos_as_xyz
'x,y,z'
'-x,-y,-z'
'-x,y,-z'
'x,-y,z'
'x+1/2,y+1/2,z'
'-x+1/2,-y+1/2,-z'
'-x+1/2,y+1/2,-z'
'x+1/2,-y+1/2,z'
loop_
_atom_site_label
_atom_site_type_symbol
_atom_site_fract_x
_atom_site_fract_y
_atom_site_fract_z
Tb1 Tb 0.000 0.000 0.000
Tb2 Tb 0.166 0.000 0.598
In1 In 0.000 0.500 0.500
In2 In 0.139 0.500 0.086
Ni1 Ni 0.228 0.000 0.128
```

=====

[5]
Material: TbInNi2
Method: DFT, PBE
State: optimized geometry

ΔH_f (0 K) = -249 meV per atom
Calculated total energy = -4.98 eV/atom
V = 70 Å³/cell
Magnetization = 0.00 μB/f.u.

CIF file:
```
data_TbInNi2
_cell_length_a 4.562
_cell_length_b 4.562
_cell_length_c 3.374
_cell_angle_alpha 90.00
_cell_angle_beta 90.00
_cell_angle_gamma 90.00
_symmetry_space_group_name_H-M 'P 4/m m m'
_symmetry_Int_Tables_number 123
_symmetry_space_group_name_Hall '-P 4 2'
loop_
_atom_site_label
_atom_site_type_symbol
_atom_site_fract_x
_atom_site_fract_y
_atom_site_fract_z
Tb1 Tb 0.000 0.000 0.000
In1 In 0.500 0.500 0.000
Ni1 Ni 0.000 0.500 0.500
```

=====

[6]
Material: TbInNi2
Method: DFT, PBE
State: optimized geometry

ΔH_f (0 K) = -379 meV per atom
Calculated total energy = -5.11 eV/atom
V = 145 Å³/cell
Magnetization = 0.00 μB/f.u.

CIF file:
```
data_TbInNi2
_cell_length_a 4.002
_cell_length_b 3.751
_cell_length_c 9.666
_cell_angle_alpha 90.00
_cell_angle_beta 90.00
_cell_angle_gamma 90.00
_symmetry_space_group_name_H-M 'A m m 2'
_symmetry_Int_Tables_number 38
loop_
_symmetry_equiv_pos_as_xyz
'x,y,z'
'-x,-y,z'
'-x,y,z'
'x,-y,z'
'x,y+1/2,z+1/2'
'-x,-y+1/2,z+1/2'
'-x,y+1/2,z+1/2'
'x,-y+1/2,z+1/2'
loop_
_atom_site_label
_atom_site_type_symbol
_atom_site_fract_x
_atom_site_fract_y
_atom_site_fract_z
Tb1 Tb 0.000 0.000 0.000
In1 In 0.500 0.000 0.291
Ni1 Ni 0.000 0.000 0.717
Ni2 Ni 0.500 0.000 0.575
```

=====

> Number 1 is which compound?

TbIn12Ni4

=====

> What is the ΔH_f (0 K) in the fourth record?

-464 meV per atom

=====

Please write out number 2 again, unchanged.
Material: Tb2InNi2
Method: DFT, PBE
State: optimized geometry

ΔH_f (0 K) = -529 meV per atom
Calculated total energy = -5.24 eV/atom
V = 208 Å³/cell
Magnetization = 0.00 μB/f.u.

CIF file:
```
data_Tb2InNi2
_cell_length_a 3.886
_cell_length_b 14.405
_cell_length_c 3.711
_cell_angle_alpha 90.00
_cell_angle_beta 90.00
_cell_angle_gamma 90.00
_symmetry_space_group_name_H-M 'C m m m'
_symmetry_Int_Tables_number 65
_symmetry_space_group_name_Hall '-C 2 2'
loop_
_atom_site_label
_atom_site_type_symbol
_atom_site_fract_x
_atom_site_fract_y
_atom_site_fract_z
Tb1 Tb 0.000 0.138 0.000
In1 In 0.000 0.500 0.500
Ni1 Ni 0.000 0.301 0.500
```

=====

> What is the magnetization in the fifth record?

0.00 μB/f.u.